# 1
Entry from the Alexandria database: an optimized crystal structure of Ba2SrBe (PBE).

a = 4.0305 Å, b = 4.0305 Å, c = 10.7276 Å
α = 90.00°, β = 90.00°, γ = 90.00°
Sites, in units of the cell vectors:
Ba1 0.0000 0.0000 0.9877
Ba2 0.5000 0.5000 0.3310
Be1 0.0000 0.0000 0.5124
Sr1 0.5000 0.5000 0.6689

Calculated values
SG = No. 99
ΔE_f = 0.302 eV/atom

---

# 2
Entry from the Alexandria database: an optimized crystal structure of DyY6In5 (PBE).

a = 4.9904 Å, b = 8.7784 Å, c = 9.0834 Å
α = 118.90°, β = 105.94°, γ = 90.00°
Sites, in units of the cell vectors:
In1 0.0000 0.5000 0.0000
In2 0.3495 0.8495 0.6990
In3 0.3230 0.3230 0.6460
In4 0.6770 0.6770 0.3540
In5 0.6505 0.1505 0.3010
Y1 0.8300 0.0934 0.6600
Y2 0.1700 0.4335 0.3400
Y3 0.8300 0.5665 0.6600
Y4 0.1700 0.9066 0.3400
Y5 0.5000 0.2725 0.0000
Y6 0.5000 0.7275 0.0000
Dy1 0.0000 0.0000 0.0000

Calculated values
SG = No. 71
ΔE_f = -0.410 eV/atom

---

# 3
Entry from the Alexandria database: an optimized crystal structure of Nb2TlBr (PBE).

a = 4.1682 Å, b = 4.1682 Å, c = 10.6910 Å
α = 78.76°, β = 78.76°, γ = 90.00°
Sites, in units of the cell vectors:
Nb1 0.6194 0.1250 0.2500
Nb2 0.3750 0.3806 0.7500
Nb3 0.8750 0.8694 0.7500
Nb4 0.1306 0.6250 0.2500
Br1 0.2500 0.7500 0.5000
Br2 0.5000 0.5000 0.0000
Tl1 0.0000 0.0000 0.0000
Tl2 0.7500 0.2500 0.5000

Calculated values
SG = No. 122
Raw formation energy = 67 kJ per mole of atoms

---

# 4
Entry from the Alexandria database: an optimized crystal structure of NbTe4Pd2 (PBE).

a = 5.4406 Å, b = 5.4406 Å, c = 7.6559 Å
α = 69.19°, β = 69.19°, γ = 90.00°
Sites, in units of the cell vectors:
Te1 0.7927 0.7927 0.4146
Te2 0.2073 0.2073 0.5854
Te3 0.5000 0.0000 0.0000
Te4 0.0000 0.5000 0.0000
Pd1 0.5981 0.5981 0.8039
Pd2 0.4019 0.4019 0.1961
Nb1 0.0000 0.0000 0.0000

Calculated values
SG = No. 139
Raw formation energy = 14 kJ per mole of atoms

---

# 5
Entry from the Alexandria database: an optimized crystal structure of Ca5Ag2Pt (PBE).

a = 4.6107 Å, b = 7.9285 Å, c = 12.6719 Å
α = 90.00°, β = 90.00°, γ = 90.00°
Sites, in units of the cell vectors:
Ag1 0.5000 0.0589 0.3327
Ag2 0.5000 0.9411 0.6673
Ag3 0.5000 0.5589 0.1673
Ag4 0.5000 0.4411 0.8327
Ca1 0.5000 0.8226 0.9179
Ca2 0.0000 0.3470 0.2980
Ca3 0.0000 0.8470 0.2020
Ca4 0.0000 0.1530 0.7980
Ca5 0.5000 0.1774 0.0821
Ca6 0.5000 0.6774 0.4179
Ca7 0.0000 0.5000 0.0000
Ca8 0.0000 0.0000 0.5000
Ca9 0.5000 0.3226 0.5821
Ca10 0.0000 0.6530 0.7020
Pt1 0.0000 0.5000 0.5000
Pt2 0.0000 0.0000 0.0000

Calculated values
SG = No. 55
ΔE_f = -0.458 eV/atom

---

# 6
Entry from the Alexandria database: an optimized crystal structure of ZnIn2W (PBE).

a = 5.1611 Å, b = 5.1611 Å, c = 2.8985 Å
α = 90.00°, β = 90.00°, γ = 90.00°
Sites, in units of the cell vectors:
Zn1 0.0000 0.5000 0.5000
W1 0.5000 0.0000 0.5000
In1 0.5000 0.5000 0.0000
In2 0.0000 0.0000 0.0000

Calculated values
SG = No. 123
ΔE_f = 0.493 eV/atom

---

# 7
Entry from the Alexandria database: an optimized crystal structure of AcCe3H (PBE).

a = 5.0080 Å, b = 5.0080 Å, c = 5.0080 Å
α = 90.00°, β = 90.00°, γ = 90.00°
Sites, in units of the cell vectors:
Ce1 0.0000 0.0000 0.5000
Ce2 0.0000 0.5000 0.0000
Ce3 0.5000 0.0000 0.0000
H1 0.0000 0.0000 0.0000
Ac1 0.5000 0.5000 0.5000

Calculated values
SG = No. 221
E_tot = -5.1025 eV per atom

---

# 8
Entry from the Alexandria database: an optimized crystal structure of TcIr3Os (PBE).

a = 4.7134 Å, b = 4.7134 Å, c = 4.7134 Å
α = 90.00°, β = 90.00°, γ = 90.00°
Sites, in units of the cell vectors:
Tc1 0.5000 0.5000 0.5000
Os1 0.0000 0.0000 0.0000
Ir1 0.0000 0.0000 0.5000
Ir2 0.5000 0.0000 0.0000
Ir3 0.0000 0.5000 0.0000

Calculated values
SG = No. 221
ΔE_f = 2.083 eV/atom

---

Which formula does entry 6 have? ZnIn2W